Version one
{
  "formula": "Sr2CrCu",
  "functional": "GGA-PBE",
  "state": "relaxed",
  "lattice_angstrom": [[-1.0395, -1.1976, -3.5416], [2.3607, -3.0452, 0.3369], [-3.5536, -7.2626, 3.4989]],
  "species": ["Cr", "Cu", "Sr", "Sr"],
  "fractional_positions": [[0.5000, 0.2500, 0.2500], [0.5000, 0.7500, 0.7500], [0.0000, 0.0169, 0.9834], [0.0000, 0.4831, 0.5166]],
  "space_group": "P2/m (10)",
  "n_ef_per_ev_cell": 3.640,
  "crystal_system": "monoclinic",
  "volume_a3_per_cell": 119
}

Version two
{
  "formula": "Sr2CrCu",
  "functional": "GGA-PBE",
  "state": "relaxed",
  "lattice_angstrom": [[8.5702, 0.0000, 0.0000], [0.0000, 8.5702, 0.0000], [4.2851, 4.2851, 3.5160]],
  "species": ["Sr", "Sr", "Sr", "Sr", "Cu", "Cu", "Cr", "Cr"],
  "fractional_positions": [[0.6583, 0.1250, 0.2500], [0.0917, 0.6250, 0.2500], [0.3750, 0.3417, 0.7500], [0.8750, 0.9083, 0.7500], [0.0000, 0.0000, 0.0000], [0.7500, 0.2500, 0.5000], [0.5000, 0.5000, 0.0000], [0.2500, 0.7500, 0.5000]],
  "space_group": "I-42d (122)",
  "n_ef_per_ev_cell": 7.319,
  "crystal_system": "tetragonal",
  "volume_a3_per_cell": 258
}

So which one is most stable? That would be version one, about 22.6 kJ/mol of atoms below the next structure.